1.
Crystalline AcCe3Pm2As6 at its relaxed geometry, computed with GGA-PBE.

## Properties
Total moment, μB/f.u.: 2.0
Formation enthalpy at 0 K, kJ/mol of formula units: -1684

Unit cell a=7.419 b=7.419 c=7.418 alpha=99.61 beta=99.61 gamma=120.00
Fractional coordinates of all 12 atoms:
Ac1 0.000 0.000 0.000
Ce1 0.165 0.835 0.500
Ce2 0.500 0.500 0.500
Ce3 0.835 0.165 0.500
Pm1 0.333 0.667 0.000
Pm2 0.667 0.333 0.000
As1 0.087 0.429 0.260
As2 0.257 0.257 0.742
As3 0.429 0.087 0.260
As4 0.571 0.913 0.740
As5 0.743 0.743 0.258
As6 0.913 0.571 0.740

---

2.
Crystalline Ac2Ce3PmAs6 at its relaxed geometry, computed with GGA-PBE.

## Properties
Total moment, μB/f.u.: 2.1
Formation enthalpy at 0 K, kJ/mol of formula units: -1666

Unit cell a=7.509 b=7.509 c=7.516 alpha=99.60 beta=99.60 gamma=119.99
Fractional coordinates of all 12 atoms:
Ac1 0.166 0.834 0.000
Ac2 0.834 0.166 0.000
Ce1 0.000 0.000 0.500
Ce2 0.332 0.668 0.500
Ce3 0.668 0.332 0.500
Pm1 0.500 0.500 0.000
As1 0.088 0.412 0.735
As2 0.265 0.265 0.266
As3 0.412 0.088 0.735
As4 0.588 0.912 0.265
As5 0.735 0.735 0.734
As6 0.912 0.588 0.265

---

3.
Crystalline Ac3Ce2PmAs6 at its relaxed geometry, computed with GGA-PBE.

## Properties
Total moment, μB/f.u.: 1.3
Formation enthalpy at 0 K, kJ/mol of formula units: -1684

Unit cell a=7.589 b=7.589 c=7.619 alpha=99.56 beta=99.56 gamma=119.99
Fractional coordinates of all 12 atoms:
Ac1 0.000 0.000 0.000
Ac2 0.334 0.666 0.000
Ac3 0.666 0.334 0.000
Ce1 0.167 0.833 0.500
Ce2 0.833 0.167 0.500
Pm1 0.500 0.500 0.500
As1 0.087 0.423 0.269
As2 0.241 0.241 0.731
As3 0.423 0.087 0.269
As4 0.577 0.913 0.731
As5 0.759 0.759 0.269
As6 0.913 0.577 0.731

---

4.
Crystalline AcCePr2As4 at its relaxed geometry, computed with GGA-PBE.

## Properties
Total moment, μB/f.u.: 0.7
Formation enthalpy at 0 K, kJ/mol of formula units: -1126

Unit cell a=7.536 b=4.351 c=7.541 alpha=90.00 beta=109.38 gamma=90.00
Fractional coordinates of all 8 atoms:
Ac1 0.000 0.000 0.000
Ce1 0.000 0.500 0.500
Pr1 0.500 0.000 0.500
Pr2 0.500 0.500 0.000
As1 0.249 0.000 0.741
As2 0.255 0.500 0.261
As3 0.745 0.500 0.739
As4 0.751 0.000 0.259

---

5.
Crystalline AcCe2PrAs4 at its relaxed geometry, computed with GGA-PBE.

## Properties
Total moment, μB/f.u.: 1.3
Formation enthalpy at 0 K, kJ/mol of formula units: -1114

Unit cell a=7.493 b=4.322 c=7.496 alpha=90.00 beta=109.42 gamma=90.00
Fractional coordinates of all 8 atoms:
Ac1 0.000 0.000 0.000
Ce1 0.000 0.500 0.500
Ce2 0.500 0.000 0.500
Pr1 0.500 0.500 0.000
As1 0.252 0.000 0.738
As2 0.262 0.500 0.267
As3 0.738 0.500 0.733
As4 0.748 0.000 0.262

---

6.
Crystalline AcCe3Pr2As6 at its relaxed geometry, computed with GGA-PBE.

## Properties
Total moment, μB/f.u.: 2.0
Formation enthalpy at 0 K, kJ/mol of formula units: -1680

Unit cell a=7.455 b=7.455 c=7.460 alpha=99.60 beta=99.60 gamma=120.00
Fractional coordinates of all 12 atoms:
Ac1 0.000 0.000 0.000
Ce1 0.165 0.835 0.500
Ce2 0.500 0.500 0.500
Ce3 0.835 0.165 0.500
Pr1 0.333 0.667 0.000
Pr2 0.667 0.333 0.000
As1 0.088 0.428 0.263
As2 0.253 0.253 0.738
As3 0.428 0.088 0.263
As4 0.572 0.912 0.737
As5 0.747 0.747 0.262
As6 0.912 0.572 0.737

---

7.
Crystalline AcCeAsPt at its relaxed geometry, computed with GGA-PBE.

## Properties
Total moment, μB/f.u.: 1.6
Formation enthalpy at 0 K, kJ/mol of formula units: -360

Unit cell a=5.281 b=5.281 c=5.281 alpha=60.00 beta=60.00 gamma=60.00
Fractional coordinates of all 4 atoms:
Ac1 0.000 0.000 0.000
Ce1 0.500 0.500 0.500
As1 0.750 0.750 0.750
Pt1 0.250 0.250 0.250

---

8.
Crystalline AcCePu2As4 at its relaxed geometry, computed with GGA-PBE.

## Properties
Total moment, μB/f.u.: 0.7
Formation enthalpy at 0 K, kJ/mol of formula units: -905

Unit cell a=7.374 b=4.272 c=7.408 alpha=90.00 beta=109.59 gamma=90.00
Fractional coordinates of all 8 atoms:
Ac1 0.000 0.000 0.000
Ce1 0.000 0.500 0.500
Pu1 0.500 0.000 0.500
Pu2 0.500 0.500 0.000
As1 0.260 0.000 0.743
As2 0.269 0.500 0.269
As3 0.731 0.500 0.731
As4 0.740 0.000 0.257

---

9.
Crystalline Ac2CeAs3Rh12 at its relaxed geometry, computed with GGA-PBE.

## Properties
Total moment, μB/f.u.: 0.0
Formation enthalpy at 0 K, kJ/mol of formula units: -321

Unit cell a=7.562 b=7.562 c=7.562 alpha=67.98 beta=67.98 gamma=67.98
Fractional coordinates of all 18 atoms:
Ac1 0.106 0.106 0.106
Ac2 0.894 0.894 0.894
Ce1 0.500 0.500 0.500
As1 0.000 0.500 0.500
As2 0.500 0.000 0.500
As3 0.500 0.500 0.000
Rh1 0.124 0.643 0.643
Rh2 0.149 0.149 0.596
Rh3 0.149 0.596 0.149
Rh4 0.357 0.357 0.876
Rh5 0.357 0.876 0.357
Rh6 0.404 0.851 0.851
Rh7 0.596 0.149 0.149
Rh8 0.643 0.124 0.643
Rh9 0.643 0.643 0.124
Rh10 0.851 0.404 0.851
Rh11 0.851 0.851 0.404
Rh12 0.876 0.357 0.357

---

10.
Crystalline Ac2CeAs3Rh4 at its relaxed geometry, computed with GGA-PBE.

## Properties
Total moment, μB/f.u.: 0.7
Formation enthalpy at 0 K, kJ/mol of formula units: -902

Unit cell a=4.318 b=4.318 c=11.256 alpha=90.00 beta=90.00 gamma=90.00
Fractional coordinates of all 10 atoms:
Ac1 0.000 0.500 0.227
Ac2 0.500 0.000 0.773
Ce1 0.000 0.000 0.500
As1 0.000 0.500 0.875
As2 0.500 0.000 0.125
As3 0.500 0.500 0.500
Rh1 0.000 0.000 0.000
Rh2 0.000 0.500 0.650
Rh3 0.500 0.000 0.350
Rh4 0.500 0.500 0.000

---

11.
Crystalline Ac2CeSmAs4 at its relaxed geometry, computed with GGA-PBE.

## Properties
Total moment, μB/f.u.: 0.6
Formation enthalpy at 0 K, kJ/mol of formula units: -1128

Unit cell a=7.581 b=4.382 c=7.608 alpha=90.00 beta=109.37 gamma=90.00
Fractional coordinates of all 8 atoms:
Ac1 0.000 0.000 0.000
Ac2 0.500 0.500 0.000
Ce1 0.000 0.500 0.500
Sm1 0.500 0.000 0.500
As1 0.242 0.000 0.730
As2 0.255 0.500 0.269
As3 0.745 0.500 0.731
As4 0.758 0.000 0.270

---

12.
Crystalline AcCeSm2As4 at its relaxed geometry, computed with GGA-PBE.

## Properties
Total moment, μB/f.u.: 0.7
Formation enthalpy at 0 K, kJ/mol of formula units: -1132

Unit cell a=7.453 b=4.305 c=7.463 alpha=90.00 beta=109.39 gamma=90.00
Fractional coordinates of all 8 atoms:
Ac1 0.000 0.000 0.000
Ce1 0.000 0.500 0.500
Sm1 0.500 0.000 0.500
Sm2 0.500 0.500 0.000
As1 0.255 0.000 0.743
As2 0.261 0.500 0.263
As3 0.739 0.500 0.737
As4 0.745 0.000 0.257